## LiTiTl (PBE)

Data for a geometry-optimized LiTiTl structure.

Calculated values
Symmetry ... No. 156
DFT formation energy ... 37.2 meV/atom
N(E_F) ... 4.4 states/eV/cell
Energy above the lowest structure with this stoichiometry ... 0.097 eV/atom
Total energy ... -4.021 eV/atom

Structure (extended XYZ):
```
6
Lattice="4.781 0.000 0.000 -2.390 4.140 0.000 0.000 0.000 5.863" Properties=species:S:1:pos:R:3 pbc="T T T"
Li 0.000 0.000 0.000
Li 0.000 2.760 1.130
Ti 0.000 2.760 4.013
Ti 2.390 1.380 2.630
Tl 0.000 0.000 2.861
Tl 2.390 1.380 5.545
```